a:
A relaxed NdEr2Th crystal, computed with PBE.

The density is 9.193 g/cm3. For the density of states at the Fermi level, the calculation gives 6.1 states/eV/f.u.

The structure belongs to space group R3m (No. 160, hexagonal axes); the cell edges are 3.5881, 3.5881 and 34.5452 Å and the angles 90.00°, 90.00° and 120.00°. The inequivalent atoms are Nd at (0.0000, 0.0000, 0.0000), Er at (0.0000, 0.0000, 0.2480), Er at (0.0000, 0.0000, 0.4199) and Th at (0.0000, 0.0000, 0.8341).


b:
A relaxed NdEr2Th crystal, computed with PBE.

The density is 9.220 g/cm3. For the density of states at the Fermi level, the calculation gives 5.6 states/eV/f.u.

The structure belongs to space group C2/m (No. 12); the cell edges are 6.2157, 3.6014 and 11.4378 Å and the angles 90.00°, 90.04° and 90.00°. The inequivalent atoms are Nd at (0.0000, 0.0000, 0.0000), Er at (0.1664, 0.5000, 0.7432) and Th at (0.0000, 0.0000, 0.5000).


It is b that is most stable; the runner-up trails by 17 meV per atom.


a:
A relaxed Nd7Er3Th crystal, computed with PBE.

The density is 7.379 g/cm3. For the density of states at the Fermi level, the calculation gives 18.6 states/eV/f.u.

The structure belongs to space group P3m1 (No. 156); the cell edges are 7.2235, 7.2235 and 8.6829 Å and the angles 90.00°, 90.00° and 120.00°. The inequivalent atoms are Nd at (0.0000, 0.0000, 0.0000), Nd at (0.1659, 0.3318, 0.3412), Nd at (0.5030, 0.0059, 0.9986), Er at (0.3389, 0.1695, 0.6634) and Th at (0.6667, 0.3333, 0.3353).


b:
A relaxed Nd7Er3Th crystal, computed with PBE.

The density is 7.673 g/cm3. For the density of states at the Fermi level, the calculation gives 18.9 states/eV/f.u.

The structure belongs to space group Cmcm (No. 63); the cell edges are 18.7713, 7.0295 and 11.4380 Å and the angles 90.00°, 90.00° and 90.00°. The inequivalent atoms are Nd at (0.0000, 0.2319, 0.2500), Nd at (0.0882, 0.2628, 0.7500), Nd at (0.1611, 0.2521, 0.0333), Er at (0.0000, 0.0000, 0.0000), Er at (0.2466, 0.0057, 0.7500) and Th at (0.0000, 0.5000, 0.0000).


It is b that is most stable; the runner-up trails by 55 meV per atom.


a:
A relaxed Nd2Er4Th crystal, computed with PBE.

The density is 8.726 g/cm3. For the density of states at the Fermi level, the calculation gives 11.9 states/eV/f.u.

The structure belongs to space group Cm (No. 8); the cell edges are 6.2365, 3.6017 and 20.2642 Å and the angles 90.00°, 95.92° and 90.00°. The inequivalent atoms are Nd at (0.0000, 0.0000, 0.0000), Nd at (0.0951, 0.0000, 0.2881), Er at (0.2848, 0.0000, 0.8550), Er at (0.3094, 0.5000, 0.4327), Er at (0.3815, 0.0000, 0.1450), Er at (0.4042, 0.5000, 0.7173) and Th at (0.1900, 0.0000, 0.5750).


b:
A relaxed Nd2Er4Th crystal, computed with PBE.

The density is 7.217 g/cm3. For the density of states at the Fermi level, the calculation gives 8.2 states/eV/f.u.

The structure belongs to space group I4/mmm (No. 139); the cell edges are 5.6857, 5.6857 and 16.9324 Å and the angles 90.00°, 90.00° and 90.00°. The inequivalent atoms are Nd at (0.0000, 0.0000, 0.1168), Er at (0.0000, 0.0000, 0.3207), Er at (0.0000, 0.5000, 0.0000) and Th at (0.0000, 0.0000, 0.5000).


It is a that is most stable; the runner-up trails by 729 meV per atom.